Record 1
DFT (PBE) results for an optimized crystal structure of ThMgTlHg.

Symmetry: F-43m
ΔE_f, kJ/mol of formula units: -64

Lattice parameters (Å, degrees): 7.473 7.473 7.473 90.00 90.00 90.00
Fractional positions:
Th 0.000 0.000 0.000
Th 0.000 0.500 0.500
Th 0.500 0.000 0.500
Th 0.500 0.500 0.000
Mg 0.000 0.000 0.500
Mg 0.000 0.500 0.000
Mg 0.500 0.000 0.000
Mg 0.500 0.500 0.500
Tl 0.250 0.250 0.750
Tl 0.250 0.750 0.250
Tl 0.750 0.250 0.250
Tl 0.750 0.750 0.750
Hg 0.250 0.250 0.250
Hg 0.250 0.750 0.750
Hg 0.750 0.250 0.750
Hg 0.750 0.750 0.250

***

Record 2
DFT (PBE) results for an optimized crystal structure of Mn2CuSn.

Symmetry: I-42d
ΔE_f, kJ/mol of formula units: 237

Lattice parameters (Å, degrees): 3.678 3.678 18.067 90.00 90.00 90.00
Fractional positions:
Mn 0.158 0.250 0.125
Mn 0.250 0.658 0.375
Mn 0.250 0.842 0.875
Mn 0.342 0.250 0.625
Mn 0.658 0.750 0.625
Mn 0.750 0.158 0.875
Mn 0.750 0.342 0.375
Mn 0.842 0.750 0.125
Cu 0.000 0.000 0.000
Cu 0.000 0.500 0.250
Cu 0.500 0.000 0.750
Cu 0.500 0.500 0.500
Sn 0.000 0.000 0.500
Sn 0.000 0.500 0.750
Sn 0.500 0.000 0.250
Sn 0.500 0.500 0.000

***

Record 3
DFT (PBE) results for an optimized crystal structure of Th12Cd3Sn5.

Symmetry: Ia-3d
ΔE_f, kJ/mol of formula units: 778

Lattice parameters (Å, degrees): 15.854 15.854 15.854 109.47 109.47 109.47
Fractional positions:
Th 0.062 0.226 0.139
Th 0.062 0.336 0.923
Th 0.077 0.639 0.413
Th 0.077 0.938 0.664
Th 0.087 0.726 0.664
Th 0.087 0.861 0.423
Th 0.139 0.062 0.226
Th 0.139 0.577 0.913
Th 0.164 0.226 0.587
Th 0.164 0.438 0.577
Th 0.226 0.139 0.062
Th 0.226 0.587 0.164
Th 0.274 0.336 0.913
Th 0.274 0.438 0.361
Th 0.336 0.913 0.274
Th 0.336 0.923 0.062
Th 0.361 0.274 0.438
Th 0.361 0.587 0.923
Th 0.413 0.077 0.639
Th 0.413 0.836 0.774
Th 0.423 0.087 0.861
Th 0.423 0.836 0.562
Th 0.438 0.361 0.274
Th 0.438 0.577 0.164
Th 0.562 0.423 0.836
Th 0.562 0.639 0.726
Th 0.577 0.164 0.438
Th 0.577 0.913 0.139
Th 0.587 0.164 0.226
Th 0.587 0.923 0.361
Th 0.639 0.413 0.077
Th 0.639 0.726 0.562
Th 0.664 0.077 0.938
Th 0.664 0.087 0.726
Th 0.726 0.562 0.639
Th 0.726 0.664 0.087
Th 0.774 0.413 0.836
Th 0.774 0.861 0.938
Th 0.836 0.562 0.423
Th 0.836 0.774 0.413
Th 0.861 0.423 0.087
Th 0.861 0.938 0.774
Th 0.913 0.139 0.577
Th 0.913 0.274 0.336
Th 0.923 0.062 0.336
Th 0.923 0.361 0.587
Th 0.938 0.664 0.077
Th 0.938 0.774 0.861
Cd 0.125 0.250 0.375
Cd 0.125 0.375 0.750
Cd 0.250 0.375 0.125
Cd 0.250 0.875 0.625
Cd 0.375 0.125 0.250
Cd 0.375 0.750 0.125
Cd 0.625 0.250 0.875
Cd 0.625 0.875 0.750
Cd 0.750 0.125 0.375
Cd 0.750 0.625 0.875
Cd 0.875 0.625 0.250
Cd 0.875 0.750 0.625
Sn 0.000 0.000 0.000
Sn 0.000 0.000 0.500
Sn 0.000 0.500 0.000
Sn 0.000 0.500 0.500
Sn 0.125 0.750 0.875
Sn 0.125 0.875 0.250
Sn 0.250 0.125 0.875
Sn 0.250 0.625 0.375
Sn 0.375 0.250 0.625
Sn 0.375 0.625 0.750
Sn 0.500 0.000 0.000
Sn 0.500 0.000 0.500
Sn 0.500 0.500 0.000
Sn 0.500 0.500 0.500
Sn 0.625 0.375 0.250
Sn 0.625 0.750 0.375
Sn 0.750 0.375 0.625
Sn 0.750 0.875 0.125
Sn 0.875 0.125 0.750
Sn 0.875 0.250 0.125

***

Record 4
DFT (PBE) results for an optimized crystal structure of PuSiAs2.

Uncorrected formation energy, meV/atom: 153
Symmetry: R-3m
Offset from the most stable computed form, meV per atom: 548.0

Lattice parameters (Å, degrees): 3.464 3.464 26.646 90.00 90.00 120.00
Fractional positions:
Pu 0.000 0.000 0.000
Pu 0.333 0.667 0.667
Pu 0.667 0.333 0.333
Si 0.000 0.000 0.500
Si 0.333 0.667 0.167
Si 0.667 0.333 0.833
As 0.000 0.000 0.110
As 0.000 0.000 0.890
As 0.333 0.667 0.557
As 0.333 0.667 0.776
As 0.667 0.333 0.224
As 0.667 0.333 0.443

***

Record 5
DFT (PBE) results for an optimized crystal structure of TlFeSe.

Uncorrected formation energy, meV/atom: 320
Symmetry: F-43m
Offset from the most stable computed form, meV per atom: 436.1

Lattice parameters (Å, degrees): 6.479 6.479 6.479 90.00 90.00 90.00
Fractional positions:
Tl 0.000 0.000 0.000
Tl 0.000 0.500 0.500
Tl 0.500 0.000 0.500
Tl 0.500 0.500 0.000
Fe 0.250 0.250 0.750
Fe 0.250 0.750 0.250
Fe 0.750 0.250 0.250
Fe 0.750 0.750 0.750
Se 0.000 0.000 0.500
Se 0.000 0.500 0.000
Se 0.500 0.000 0.000
Se 0.500 0.500 0.500

***

Record 6
DFT (PBE) results for an optimized crystal structure of Tb3SmDy7.

Symmetry: P2/m
ΔE_f, kJ/mol of formula units: 153
Offset from the most stable computed form, meV per atom: 0.0

Lattice parameters (Å, degrees): 6.947 5.538 9.907 90.00 109.97 90.00
Fractional positions:
Tb 0.000 0.000 0.000
Tb 0.221 0.500 0.502
Tb 0.779 0.500 0.498
Sm 0.500 0.000 0.000
Dy 0.079 0.000 0.669
Dy 0.178 0.500 0.859
Dy 0.353 0.500 0.210
Dy 0.500 0.000 0.500
Dy 0.647 0.500 0.790
Dy 0.822 0.500 0.141
Dy 0.921 0.000 0.331

***

Record 7
DFT (PBE) results for an optimized crystal structure of Cs2YOsI6.

Uncorrected formation energy, meV/atom: -737
Symmetry: I4/mmm

Lattice parameters (Å, degrees): 8.266 8.266 8.266 119.98 119.98 90.04
Fractional positions:
Cs 0.250 0.750 0.500
Cs 0.750 0.250 0.500
Y 0.000 0.000 0.000
Os 0.500 0.500 0.000
I 0.262 0.262 0.000
I 0.262 0.262 0.523
I 0.262 0.738 0.000
I 0.738 0.262 0.000
I 0.738 0.738 0.000
I 0.738 0.738 0.477

***

Record 8
DFT (PBE) results for an optimized crystal structure of Na4CeIn3S8.

Uncorrected formation energy, meV/atom: -1064
Symmetry: R-3m

Lattice parameters (Å, degrees): 8.118 8.118 8.118 57.72 57.72 57.72
Fractional positions:
Na 0.000 0.000 0.000
Na 0.000 0.500 0.500
Na 0.500 0.000 0.500
Na 0.500 0.500 0.000
Ce 0.500 0.500 0.500
In 0.000 0.000 0.500
In 0.000 0.500 0.000
In 0.500 0.000 0.000
S 0.233 0.748 0.748
S 0.238 0.238 0.238
S 0.252 0.252 0.767
S 0.252 0.767 0.252
S 0.748 0.233 0.748
S 0.748 0.748 0.233
S 0.762 0.762 0.762
S 0.767 0.252 0.252